ScMo2Os2 | GGA-PBE | optimized geometry

Output
Crystal system: tetragonal
ρ: 10.87 g cm⁻³
Energy: -10.05 eV/atom
Energy above the lowest structure with this stoichiometry: 0.000 eV/f.u.
Fermi-level density of states: 4.19 states/eV/f.u.
Magnetic moment: 0.0 μB per cell
Energy relative to the elements: 0.0365 eV/atom
Volume: 189 Å³/cell

The structure in CIF format:
```
data_ScMo2Os2
_space_group_name_H-M_alt 'I 4/m m m'
_space_group_IT_number 139
_space_group_name_Hall '-I 4 2'
_cell_length_a 4.257
_cell_length_b 4.257
_cell_length_c 10.403
_cell_angle_alpha 90.00
_cell_angle_beta 90.00
_cell_angle_gamma 90.00
loop_
_atom_site_label
_atom_site_fract_x
_atom_site_fract_y
_atom_site_fract_z
Sc1 0.000 0.000 0.000
Mo1 0.000 0.500 0.250
Os1 0.000 0.000 0.381
```